Below is a relaxed BeN crystal, with properties calculated at the PBE level.

abc: 6.5678 6.5678 3.0726
angles: 90.00 90.00 90.00
Sites, in units of the cell vectors:
Be 0.3369 0.8257 0.0000
Be 0.6631 0.1743 0.0000
Be 0.1743 0.3369 0.0000
Be 0.8257 0.6631 0.0000
Be 0.8369 0.3257 0.5000
Be 0.1631 0.6743 0.5000
Be 0.6743 0.8369 0.5000
Be 0.3257 0.1631 0.5000
N 0.4176 0.2327 0.0000
N 0.5824 0.7673 0.0000
N 0.7673 0.4176 0.0000
N 0.2327 0.5824 0.0000
N 0.9176 0.7327 0.5000
N 0.0824 0.2673 0.5000
N 0.2673 0.9176 0.5000
N 0.7327 0.0824 0.5000

Computed properties:
final energy	-6.15	eV per atom
space group	I4/m, No. 87
magnetic moment	0.00	Bohr magnetons per cell
energy above the most stable polymorph in this dataset	85	kJ/mol of formula units
crystal system	tetragonal
calculated density	2.31	g cm⁻³
formation energy without anion corrections	-0.124	eV/atom